# PBE-GGA Pm3PrAl8, relaxed
data_Pm3PrAl8
_cell_length_a 5.6618
_cell_length_b 5.6618
_cell_length_c 9.3324
_cell_angle_alpha 90.00
_cell_angle_beta 90.00
_cell_angle_gamma 120.00
_space_group_name_H-M_alt 'P 3 m 1'
_space_group_IT_number 156
loop_
_space_group_symop_operation_xyz
'x,y,z'
'-y,x-y,z'
'-x+y,-x,z'
'-y,-x,z'
'-x+y,y,z'
'x,x-y,z'
loop_
_atom_site_label
_atom_site_fract_x
_atom_site_fract_y
_atom_site_fract_z
Pm1 0.0000 0.0000 0.0000
Pm2 0.0000 0.0000 0.3636
Pm3 0.3333 0.6667 0.8641
Pr1 0.3333 0.6667 0.5002
Al1 0.0088 0.5044 0.1810
Al2 0.3243 0.1622 0.6837
Al3 0.6667 0.3333 0.4316
Al4 0.6667 0.3333 0.9328
# - Distance to the lowest polymorph of the same formula: 0.011 eV/atom
# - Magnetic moment: 0.00 Bohr magnetons per cell
# - Formation enthalpy at 0 K: -492 meV per atom